# 1
Compound: NpOs2W
Source: Alexandria
Functional: PBE
Structure: relaxed

Formation energy from the elements, eV per atom: 0.26
E_tot, eV/atom: -11.830
Symmetry: R-3m, No. 166
Energy above the most stable polymorph in this dataset, meV/atom: 118

Geometry as POSCAR:
```
NpOs2W
1.0
1.399 0.808 9.697
-1.399 0.808 9.697
0.000 -1.615 9.697
Np Os W
1 2 1
direct
0.000 0.000 0.000
0.242 0.242 0.242
0.758 0.758 0.758
0.500 0.500 0.500
```

---

# 2
Compound: NpOs2W
Source: Alexandria
Functional: PBE
Structure: relaxed

Formation energy from the elements, eV per atom: 0.14
E_tot, eV/atom: -11.949
Symmetry: P4/mmm, No. 123
Energy above the most stable polymorph in this dataset, meV/atom: 0

Geometry as POSCAR:
```
NpOs2W
1.0
3.014 0.000 0.000
0.000 3.014 0.000
0.000 0.000 7.495
Np Os W
1 2 1
direct
0.000 0.000 0.000
0.500 0.500 0.282
0.500 0.500 0.718
0.000 0.000 0.500
```

---

The highest E_tot belongs to which entry?
number 1

---

formation energy from the elements of number 2 (NpOs2W)?
0.14 eV per atom